# 1
VASP calculation (PBE-GGA) on SiRu2Pt after structural relaxation.

a = 5.276 Å, b = 5.276 Å, c = 4.305 Å
α = 65.93°, β = 65.93°, γ = 31.22°
Element x y z (fractional)
Pt: 0.250 0.250 0.250
Ru: 0.039 0.039 0.961
Ru: 0.461 0.461 0.539
Si: 0.750 0.750 0.750

- calculated volume (Å³ per atom) = 14.07
- ΔE_f (raw) (eV/atom) = -0.25
- DFT total energy (eV/atom) = -7.7588

# 2
VASP calculation (PBE-GGA) on SiRu3Pt after structural relaxation.

a = 4.331 Å, b = 4.331 Å, c = 4.331 Å
α = 90.00°, β = 90.00°, γ = 90.00°
Element x y z (fractional)
Ru: 0.000 0.500 0.000
Ru: 0.000 0.000 0.500
Ru: 0.500 0.000 0.000
Si: 0.000 0.000 0.000
Pt: 0.500 0.500 0.500

- calculated volume (Å³ per atom) = 16.25
- ΔE_f (raw) (eV/atom) = 0.80
- relative energy among the computed polymorphs (meV/atom) = 0.0
- DFT total energy (eV/atom) = -7.0615

# 3
VASP calculation (PBE-GGA) on SiRu2Pt after structural relaxation.

a = 4.572 Å, b = 4.572 Å, c = 4.572 Å
α = 129.24°, β = 129.24°, γ = 74.62°
Element x y z (fractional)
Pt: 0.750 0.250 0.500
Ru: 0.000 0.000 0.000
Ru: 0.500 0.500 0.000
Si: 0.250 0.750 0.500

- calculated volume (Å³ per atom) = 13.97
- ΔE_f (raw) (eV/atom) = -0.15
- DFT total energy (eV/atom) = -7.6572

# 4
VASP calculation (PBE-GGA) on SiRu3Pt after structural relaxation.

a = 4.738 Å, b = 4.738 Å, c = 4.738 Å
α = 90.00°, β = 90.00°, γ = 90.00°
Element x y z (fractional)
Ru: 0.000 0.500 0.000
Ru: 0.000 0.000 0.500
Ru: 0.500 0.000 0.000
Si: 0.500 0.500 0.500
Pt: 0.000 0.000 0.000

- calculated volume (Å³ per atom) = 21.27
- ΔE_f (raw) (eV/atom) = 2.02
- relative energy among the computed polymorphs (meV/atom) = 1221.1
- DFT total energy (eV/atom) = -5.8404

# 5
VASP calculation (PBE-GGA) on SiRuPt4 after structural relaxation.

a = 5.242 Å, b = 5.242 Å, c = 5.242 Å
α = 60.00°, β = 60.00°, γ = 60.00°
Element x y z (fractional)
Si: 0.000 0.000 0.000
Ru: 0.250 0.250 0.250
Pt: 0.625 0.625 0.126
Pt: 0.625 0.126 0.625
Pt: 0.625 0.625 0.625
Pt: 0.126 0.625 0.625

- calculated volume (Å³ per atom) = 16.97
- ΔE_f (raw) (eV/atom) = 0.46
- DFT total energy (eV/atom) = -6.0181

# 6
VASP calculation (PBE-GGA) on SiRu2Pt after structural relaxation.

a = 3.638 Å, b = 3.638 Å, c = 9.635 Å
α = 79.12°, β = 79.12°, γ = 90.00°
Element x y z (fractional)
Ru: 0.601 0.125 0.250
Ru: 0.149 0.625 0.250
Ru: 0.375 0.399 0.750
Ru: 0.875 0.851 0.750
Si: 0.500 0.500 0.000
Si: 0.250 0.750 0.500
Pt: 0.000 0.000 0.000
Pt: 0.750 0.250 0.500

- calculated volume (Å³ per atom) = 15.36
- ΔE_f (raw) (eV/atom) = 0.28
- DFT total energy (eV/atom) = -7.2281

# 7
VASP calculation (PBE-GGA) on SiRu2Pt after structural relaxation.

a = 3.880 Å, b = 2.793 Å, c = 5.417 Å
α = 75.10°, β = 90.00°, γ = 90.00°
Element x y z (fractional)
Pt: 0.500 0.564 0.747
Ru: 0.000 0.927 0.021
Ru: 0.500 0.306 0.262
Si: 0.000 0.704 0.469

- calculated volume (Å³ per atom) = 14.19
- ΔE_f (raw) (eV/atom) = -0.24
- DFT total energy (eV/atom) = -7.7407

# 8
VASP calculation (PBE-GGA) on SiRu2Pt after structural relaxation.

a = 8.464 Å, b = 8.464 Å, c = 8.464 Å
α = 19.02°, β = 19.02°, γ = 19.02°
Element x y z (fractional)
Pt: 0.757 0.757 0.757
Ru: 0.996 0.996 0.996
Ru: 0.244 0.244 0.244
Si: 0.503 0.503 0.503

- calculated volume (Å³ per atom) = 14.08
- ΔE_f (raw) (eV/atom) = -0.15
- DFT total energy (eV/atom) = -7.6501

# 9
VASP calculation (PBE-GGA) on SiRu2Pt after structural relaxation.

a = 4.325 Å, b = 4.325 Å, c = 4.325 Å
α = 60.00°, β = 60.00°, γ = 60.00°
Element x y z (fractional)
Pt: 0.500 0.500 0.500
Ru: 0.000 0.000 0.000
Ru: 0.750 0.750 0.750
Si: 0.250 0.250 0.250

- calculated volume (Å³ per atom) = 14.30
- ΔE_f (raw) (eV/atom) = 0.12
- DFT total energy (eV/atom) = -7.3853

# 10
VASP calculation (PBE-GGA) on SiRu2Pt after structural relaxation.

a = 2.782 Å, b = 3.728 Å, c = 5.437 Å
α = 90.00°, β = 90.00°, γ = 90.00°
Element x y z (fractional)
Pt: 0.500 0.500 0.734
Ru: 0.000 0.000 0.030
Ru: 0.500 0.500 0.239
Si: 0.000 0.000 0.497

- calculated volume (Å³ per atom) = 14.10
- ΔE_f (raw) (eV/atom) = -0.12
- DFT total energy (eV/atom) = -7.6261

# 11
VASP calculation (PBE-GGA) on SiRu2Pt after structural relaxation.

a = 4.559 Å, b = 4.559 Å, c = 2.787 Å
α = 90.00°, β = 90.00°, γ = 104.66°
Element x y z (fractional)
Pt: 0.000 0.500 0.500
Ru: 0.000 0.000 0.000
Ru: 0.500 0.500 0.000
Si: 0.500 0.000 0.500

- calculated volume (Å³ per atom) = 14.01
- ΔE_f (raw) (eV/atom) = -0.14
- DFT total energy (eV/atom) = -7.6441

# 12
VASP calculation (PBE-GGA) on SiRu2Pt after structural relaxation.

a = 2.869 Å, b = 2.869 Å, c = 6.707 Å
α = 90.00°, β = 90.00°, γ = 90.00°
Element x y z (fractional)
Pt: 0.500 0.500 0.750
Ru: 0.000 0.000 0.039
Ru: 0.000 0.000 0.461
Si: 0.500 0.500 0.250

- calculated volume (Å³ per atom) = 13.81
- ΔE_f (raw) (eV/atom) = -0.30
- DFT total energy (eV/atom) = -7.8010